# 1
LaYTl2Cd2 | GGA-PBE | relaxed

Space group = P3m1
M_tot = 0.0 μB/f.u.
Calculated total energy = -3.3583 eV per atom

Cell lengths 4.946, 4.946, 7.708 Å; angles 90.00, 90.00, 120.00 degrees
Element x y z (fractional)
La1 0.000 0.000 0.000
Y1 0.000 0.000 0.499
Tl1 0.333 0.667 0.699
Tl2 0.667 0.333 0.215
Cd1 0.333 0.667 0.299
Cd2 0.667 0.333 0.780

***

# 2
YEr4Tm2Ni2Te2 | GGA-PBE | relaxed

Space group = Imm2
M_tot = 0.0 μB/f.u.
Calculated total energy = -5.3303 eV per atom

Cell lengths 9.271, 9.271, 9.271 Å; angles 156.20, 66.94, 118.48 degrees
Element x y z (fractional)
Y1 0.000 0.000 0.000
Er1 0.286 0.418 0.867
Er2 0.306 0.620 0.685
Er3 0.551 0.418 0.133
Er4 0.935 0.620 0.315
Tm1 0.622 0.270 0.353
Tm2 0.917 0.270 0.647
Ni1 0.166 0.928 0.238
Ni2 0.690 0.928 0.762
Te1 0.265 0.765 0.500
Te2 0.664 0.664 0.000

***

# 3
NbZnNiMo | GGA-PBE | relaxed

Space group = F-43m
M_tot = 0.7 μB/f.u.
ΔH_f (0 K) = 4.12 kcal/mol of atoms

Cell lengths 6.200, 6.200, 6.200 Å; angles 90.00, 90.00, 90.00 degrees
Element x y z (fractional)
Nb1 0.000 0.000 0.000
Nb2 0.000 0.500 0.500
Nb3 0.500 0.000 0.500
Nb4 0.500 0.500 0.000
Zn1 0.000 0.000 0.500
Zn2 0.000 0.500 0.000
Zn3 0.500 0.000 0.000
Zn4 0.500 0.500 0.500
Ni1 0.250 0.250 0.750
Ni2 0.250 0.750 0.250
Ni3 0.750 0.250 0.250
Ni4 0.750 0.750 0.750
Mo1 0.250 0.250 0.250
Mo2 0.250 0.750 0.750
Mo3 0.750 0.250 0.750
Mo4 0.750 0.750 0.250

***

# 4
K2Sb2Pd3 | GGA-PBE | relaxed

Space group = R3m
Calculated total energy = -4.0737 eV per atom

Cell lengths 11.690, 11.690, 11.690 Å; angles 22.46, 22.46, 22.46 degrees
Element x y z (fractional)
K1 0.000 0.000 0.000
K2 0.495 0.495 0.495
Sb1 0.247 0.247 0.247
Sb2 0.744 0.744 0.744
Pd1 0.402 0.402 0.402
Pd2 0.593 0.593 0.593
Pd3 0.901 0.901 0.901

***

# 5
PrEr2Mg3Tl2Hg | GGA-PBE | relaxed

Space group = Amm2
M_tot = 0.0 μB/f.u.
Calculated total energy = -2.9863 eV per atom

Cell lengths 4.629, 7.585, 7.585 Å; angles 121.11, 90.00, 90.00 degrees
Element x y z (fractional)
Pr1 0.000 0.000 0.000
Er1 0.000 0.419 0.840
Er2 0.000 0.840 0.419
Mg1 0.500 0.185 0.422
Mg2 0.500 0.422 0.185
Mg3 0.500 0.662 0.662
Tl1 0.500 0.090 0.748
Tl2 0.500 0.748 0.090
Hg1 0.000 0.433 0.433

***

# 6
Ho2SiO4 | GGA-PBE | relaxed

Space group = Pnma
M_tot = 0.0 μB/f.u.
Calculated total energy = -7.8254 eV per atom

Cell lengths 6.521, 5.455, 9.809 Å; angles 90.00, 90.00, 90.00 degrees
Element x y z (fractional)
Ho1 0.030 0.250 0.188
Ho2 0.110 0.250 0.546
Ho3 0.390 0.750 0.046
Ho4 0.470 0.750 0.688
Ho5 0.530 0.250 0.312
Ho6 0.610 0.250 0.954
Ho7 0.890 0.750 0.454
Ho8 0.970 0.750 0.812
Si1 0.160 0.250 0.836
Si2 0.340 0.750 0.336
Si3 0.660 0.250 0.664
Si4 0.840 0.750 0.164
O1 0.038 0.750 0.054
O2 0.156 0.750 0.620
O3 0.190 0.504 0.371
O4 0.190 0.996 0.371
O5 0.310 0.004 0.871
O6 0.310 0.496 0.871
O7 0.344 0.250 0.120
O8 0.462 0.250 0.554
O9 0.538 0.750 0.446
O10 0.656 0.750 0.880
O11 0.690 0.504 0.129
O12 0.690 0.996 0.129
O13 0.810 0.004 0.629
O14 0.810 0.496 0.629
O15 0.844 0.250 0.380
O16 0.962 0.250 0.946